! MnTeP2O (PBE with a Hubbard U, relaxed); values from VASP
&SYSTEM
  ibrav = 0, nat = 5, ntyp = 4
/
ATOMIC_SPECIES
Mn 54.94 Mn.upf
Te 127.60 Te.upf
P 30.97 P.upf
O 16.00 O.upf
ATOMIC_POSITIONS crystal
Mn 0.000 0.000 0.000
Te 0.500 0.500 0.500
P 0.000 0.500 0.500
P 0.500 0.000 0.500
O 0.500 0.500 0.000
CELL_PARAMETERS angstrom
5.152 0.000 0.000
0.000 5.152 0.000
0.000 0.000 3.936
! Energy relative to the lowest polymorph listed for this composition   30 kJ/mol of formula units
! Space-group type   P4/mmm (123)
! Total magnetic moment   4.2 μB per formula unit
! Crystal system   tetragonal
! E_tot   -23.9 eV for the cell shown